No. 1
This record from Alexandria describes a PBEsol-optimized structure of LiZr2Ir. The functional is SCAN.

## Properties
The space group is P4/mmm, No. 123. The crystal system is tetragonal. The energy above the lowest structure with this stoichiometry is 58.0 meV per atom.

a b c (Å): 3.3333 4.5617 4.5617
angles (deg): 90.00 90.00 90.00
Sites, in units of the cell vectors:
Ir: 0.0000 0.5000 0.5000
Zr: 0.5000 0.0000 0.5000
Zr: 0.5000 0.5000 0.0000
Li: 0.0000 0.0000 0.0000

---

No. 2
This record from Alexandria describes a PBEsol-optimized structure of TaRu. The functional is SCAN.

## Properties
The space group is Pnma, No. 62. The crystal system is orthorhombic.

a b c (Å): 4.4186 5.3858 5.2613
angles (deg): 90.00 90.00 90.00
Sites, in units of the cell vectors:
Ta: 0.2500 0.6210 0.1457
Ta: 0.7500 0.3790 0.8543
Ta: 0.2500 0.8790 0.6457
Ta: 0.7500 0.1210 0.3543
Ru: 0.7500 0.6474 0.4188
Ru: 0.7500 0.8526 0.9188
Ru: 0.2500 0.3526 0.5812
Ru: 0.2500 0.1474 0.0812

---

no.,energy of formation from the pure elements (kJ/mol of formula units)
1,-219
2,-64